DFT (GGA-PBE) results for crystalline ScGaI2N at its relaxed geometry.

Properties
Polymorph energy (0 for the lowest one)   495 meV per atom
Crystal system   tetragonal
Magnetization   0.000 μB/f.u.

a = 5.879 Å, b = 5.879 Å, c = 3.568 Å
α = 90.00°, β = 90.00°, γ = 90.00°
Sites, in units of the cell vectors:
Sc 0.500 0.500 0.500
Ga 0.000 0.000 0.000
I 0.500 0.000 0.000
I 0.000 0.500 0.000
N 0.000 0.000 0.500

---

DFT (GGA-PBE) results for crystalline GaSeIN2 at its relaxed geometry.

Properties
Polymorph energy (0 for the lowest one)   66 meV per atom
Crystal system   tetragonal
Magnetization   2.936 μB/f.u.

a = 3.961 Å, b = 3.961 Å, c = 8.118 Å
α = 90.00°, β = 90.00°, γ = 90.00°
Sites, in units of the cell vectors:
I 0.000 0.000 0.500
Se 0.500 0.500 0.500
Ga 0.000 0.000 0.000
N 0.500 0.000 0.000
N 0.000 0.500 0.000

---

DFT (GGA-PBE) results for crystalline GaSeIN2 at its relaxed geometry.

Properties
Polymorph energy (0 for the lowest one)   305 meV per atom
Crystal system   tetragonal
Magnetization   0.000 μB/f.u.

a = 3.941 Å, b = 3.941 Å, c = 7.456 Å
α = 90.00°, β = 90.00°, γ = 90.00°
Sites, in units of the cell vectors:
N 0.000 0.500 0.000
N 0.500 0.000 0.000
Se 0.000 0.000 0.500
Ga 0.500 0.500 0.500
I 0.000 0.000 0.000

---

DFT (GGA-PBE) results for crystalline GaSeIN2 at its relaxed geometry.

Properties
Polymorph energy (0 for the lowest one)   0 meV per atom
Crystal system   tetragonal
Magnetization   3.471 μB/f.u.

a = 4.088 Å, b = 4.088 Å, c = 5.742 Å
α = 90.00°, β = 90.00°, γ = 90.00°
Sites, in units of the cell vectors:
Se 0.000 0.000 0.500
N 0.500 0.000 0.000
Ga 0.000 0.000 0.000
I 0.500 0.500 0.500
N 0.000 0.500 0.000

---

DFT (GGA-PBE) results for crystalline GaSeI2N at its relaxed geometry.

Properties
Polymorph energy (0 for the lowest one)   148 meV per atom
Crystal system   tetragonal
Magnetization   0.000 μB/f.u.

a = 5.988 Å, b = 5.988 Å, c = 3.515 Å
α = 90.00°, β = 90.00°, γ = 90.00°
Sites, in units of the cell vectors:
I 0.500 0.000 0.000
N 0.000 0.000 0.500
Se 0.500 0.500 0.500
I 0.000 0.500 0.000
Ga 0.000 0.000 0.000

---

DFT (GGA-PBE) results for crystalline GaSeI2N at its relaxed geometry.

Properties
Polymorph energy (0 for the lowest one)   0 meV per atom
Crystal system   tetragonal
Magnetization   0.000 μB/f.u.

a = 6.185 Å, b = 6.185 Å, c = 3.731 Å
α = 90.00°, β = 90.00°, γ = 90.00°
Sites, in units of the cell vectors:
I 0.000 0.500 0.000
I 0.500 0.000 0.000
N 0.000 0.000 0.500
Ga 0.500 0.500 0.500
Se 0.000 0.000 0.000

---

DFT (GGA-PBE) results for crystalline GaSeIN2 at its relaxed geometry.

Properties
Polymorph energy (0 for the lowest one)   177 meV per atom
Crystal system   tetragonal
Magnetization   1.755 μB/f.u.

a = 4.029 Å, b = 4.029 Å, c = 7.722 Å
α = 90.00°, β = 90.00°, γ = 90.00°
Sites, in units of the cell vectors:
Se 0.000 0.000 0.000
N 0.500 0.000 0.000
I 0.000 0.000 0.500
N 0.000 0.500 0.000
Ga 0.500 0.500 0.500

---

DFT (GGA-PBE) results for crystalline TaGaI2N at its relaxed geometry.

Properties
Polymorph energy (0 for the lowest one)   1067 meV per atom
Crystal system   tetragonal
Magnetization   2.081 μB/f.u.

a = 5.782 Å, b = 5.782 Å, c = 3.502 Å
α = 90.00°, β = 90.00°, γ = 90.00°
Sites, in units of the cell vectors:
I 0.000 0.500 0.000
N 0.000 0.000 0.500
Ta 0.500 0.500 0.500
I 0.500 0.000 0.000
Ga 0.000 0.000 0.000